No. 1
Here is a relaxed structure of Tm5NpN6 from Alexandria via LeMat-Bulk. Energies are from PBE.

Results
The density of states at the Fermi level comes out at 7.01 states/eV/f.u. Its space group is C2/m. The calculation puts the raw formation energy at -1.7007 eV per atom. For the calculated total energy, the calculation gives -8.8049 eV/atom. The volume is 13.9 Å³/atom.

Lattice parameters (Å, degrees): 5.8908 5.8928 5.8951 60.01 80.43 70.58
Site moments in Bohr magnetons follow the coordinates.
Positions (direct):
1 N 0.2464 0.5925 0.3253  -0.05
2 N 0.7567 0.7573 0.0000  -0.05
3 N 0.2464 0.9178 0.6747  -0.05
4 N 0.7536 0.0822 0.3253  -0.05
5 N 0.2433 0.2427 0.0000  -0.05
6 N 0.7536 0.4075 0.6747  -0.05
7 Tm 0.5000 0.5000 0.0000  0.06
8 Tm 0.0000 0.3335 0.3330  0.06
9 Tm 0.5000 0.1682 0.6636  0.06
10 Tm 0.5000 0.8318 0.3364  0.06
11 Tm 0.0000 0.6665 0.6670  0.06
12 Np 0.0000 0.0000 0.0000  2.79

---

No. 2
Here is a relaxed structure of TmNpN from Alexandria via LeMat-Bulk. Energies are from PBE.

Results
The density of states at the Fermi level comes out at 4.44 states/eV/f.u. Its space group is P-6m2. The calculation puts the raw formation energy at -0.7231 eV per atom. For the calculated total energy, the calculation gives -9.3023 eV/atom. The volume is 19.1 Å³/atom.

Lattice parameters (Å, degrees): 3.3353 3.3352 11.8995 90.00 90.00 120.00
Site moments in Bohr magnetons follow the coordinates.
Positions (direct):
1 Np 0.4446 0.8891 0.0000  -3.21
2 Np 0.4440 0.8879 0.5000  4.28
3 Tm 0.1112 0.2223 0.7575  0.11
4 Tm 0.1112 0.2223 0.2425  0.11
5 N 0.7779 0.5558 0.1290  0.09
6 N 0.7779 0.5558 0.8710  0.09

---

No. 3
Here is a relaxed structure of TmNp3N4 from Alexandria via LeMat-Bulk. Energies are from PBE.

Results
The density of states at the Fermi level comes out at 13.16 states/eV/f.u. Its space group is I4/mmm. The calculation puts the raw formation energy at -1.2741 eV per atom. For the calculated total energy, the calculation gives -10.8485 eV/atom. The volume is 14.4 Å³/atom.

Lattice parameters (Å, degrees): 4.8652 4.8652 5.9555 114.11 114.11 90.00
Site moments in Bohr magnetons follow the coordinates.
Positions (direct):
1 N 0.5000 0.0000 0.0000  -0.14
2 N 0.2503 0.2503 0.5006  -0.16
3 N 0.0000 0.5000 0.0000  -0.14
4 N 0.7497 0.7497 0.4994  -0.16
5 Tm 0.0000 0.0000 0.0000  0.12
6 Np 0.2500 0.7500 0.5000  3.28
7 Np 0.5000 0.5000 0.0000  3.30
8 Np 0.7500 0.2500 0.5000  3.28